# ScAgBr4, relaxed, DFT GGA-PBE
# space-group type	No. 15
# distance to the lowest polymorph of the same formula	0.011	eV per atom
data_ScAgBr4
_chemical_formula_sum 'Sc2 Ag2 Br8'
_cell_length_a 10.0618
_cell_length_b 10.0618
_cell_length_c 6.7308
_cell_angle_alpha 105.05
_cell_angle_beta 105.05
_cell_angle_gamma 130.12
_symmetry_space_group_name_H-M 'P 1'
_symmetry_Int_Tables_number 1
_symmetry_space_group_name_Hall 'P 1'
loop_
_atom_site_label
_atom_site_fract_x
_atom_site_fract_y
_atom_site_fract_z
_atom_site_occupancy
Sc1 0.0640 0.9360 0.7500 1
Sc2 0.9360 0.0640 0.2500 1
Ag1 0.3741 0.6259 0.2500 1
Ag2 0.6259 0.3741 0.7500 1
Br1 0.0600 0.3939 0.2854 1
Br2 0.1830 0.2715 0.7509 1
Br3 0.2715 0.1830 0.2509 1
Br4 0.3939 0.0600 0.7854 1
Br5 0.6061 0.9400 0.2146 1
Br6 0.7285 0.8170 0.7491 1
Br7 0.8170 0.7285 0.2491 1
Br8 0.9400 0.6061 0.7146 1


# ScAg3Br, relaxed, DFT GGA-PBE
# space-group type	No. 221
# distance to the lowest polymorph of the same formula	0.030	eV per atom
data_ScAg3Br
_chemical_formula_sum 'Sc1 Ag3 Br1'
_cell_length_a 5.3459
_cell_length_b 5.3459
_cell_length_c 5.3459
_cell_angle_alpha 90.00
_cell_angle_beta 90.00
_cell_angle_gamma 90.00
_symmetry_space_group_name_H-M 'P 1'
_symmetry_Int_Tables_number 1
_symmetry_space_group_name_Hall 'P 1'
loop_
_atom_site_label
_atom_site_fract_x
_atom_site_fract_y
_atom_site_fract_z
_atom_site_occupancy
Sc1 0.0000 0.0000 0.0000 1
Ag1 0.0000 0.0000 0.5000 1
Ag2 0.0000 0.5000 0.0000 1
Ag3 0.5000 0.0000 0.0000 1
Br1 0.5000 0.5000 0.5000 1


# Sc2AgBr, relaxed, DFT GGA-PBE
# space-group type	No. 8
# distance to the lowest polymorph of the same formula	0.113	eV per atom
data_Sc2AgBr
_chemical_formula_sum 'Sc2 Ag1 Br1'
_cell_length_a 5.6232
_cell_length_b 5.6232
_cell_length_c 4.7929
_cell_angle_alpha 90.08
_cell_angle_beta 90.08
_cell_angle_gamma 34.46
_symmetry_space_group_name_H-M 'P 1'
_symmetry_Int_Tables_number 1
_symmetry_space_group_name_Hall 'P 1'
loop_
_atom_site_label
_atom_site_fract_x
_atom_site_fract_y
_atom_site_fract_z
_atom_site_occupancy
Sc1 0.0000 0.0000 0.0000 1
Sc2 0.7462 0.7462 0.5009 1
Ag1 0.2611 0.2611 0.0008 1
Br1 0.4886 0.4886 0.5000 1


# ScAgBr, relaxed, DFT GGA-PBE
# space-group type	No. 38
# distance to the lowest polymorph of the same formula	0.059	eV per atom
data_ScAgBr
_chemical_formula_sum 'Sc2 Ag2 Br2'
_cell_length_a 14.5556
_cell_length_b 3.4778
_cell_length_c 3.4778
_cell_angle_alpha 60.02
_cell_angle_beta 90.00
_cell_angle_gamma 90.00
_symmetry_space_group_name_H-M 'P 1'
_symmetry_Int_Tables_number 1
_symmetry_space_group_name_Hall 'P 1'
loop_
_atom_site_label
_atom_site_fract_x
_atom_site_fract_y
_atom_site_fract_z
_atom_site_occupancy
Sc1 0.1432 0.0000 0.0000 1
Sc2 0.8568 0.0000 0.0000 1
Ag1 0.0000 0.3336 0.3336 1
Ag2 0.5000 0.3219 0.3219 1
Br1 0.2714 0.3333 0.3333 1
Br2 0.7286 0.3333 0.3333 1


# Sc2AgBr8, relaxed, DFT GGA-PBE
# space-group type	No. 164
data_Sc2AgBr8
_chemical_formula_sum 'Sc2 Ag1 Br8'
_cell_length_a 8.0933
_cell_length_b 8.0933
_cell_length_c 7.9260
_cell_angle_alpha 90.00
_cell_angle_beta 90.00
_cell_angle_gamma 120.00
_symmetry_space_group_name_H-M 'P 1'
_symmetry_Int_Tables_number 1
_symmetry_space_group_name_Hall 'P 1'
loop_
_atom_site_label
_atom_site_fract_x
_atom_site_fract_y
_atom_site_fract_z
_atom_site_occupancy
Sc1 0.3333 0.6667 0.2881 1
Sc2 0.6667 0.3333 0.7119 1
Ag1 0.0000 0.0000 0.0000 1
Br1 0.1580 0.3161 0.2197 1
Br2 0.1580 0.8420 0.2197 1
Br3 0.3161 0.1580 0.7803 1
Br4 0.3333 0.6667 0.5989 1
Br5 0.6667 0.3333 0.4011 1
Br6 0.6839 0.8420 0.2197 1
Br7 0.8420 0.1580 0.7803 1
Br8 0.8420 0.6839 0.7803 1


# ScAgBr2, relaxed, DFT GGA-PBE
# space-group type	No. 119
# distance to the lowest polymorph of the same formula	0.483	eV per atom
data_ScAgBr2
_chemical_formula_sum 'Sc1 Ag1 Br2'
_cell_length_a 6.4358
_cell_length_b 6.4358
_cell_length_c 6.4358
_cell_angle_alpha 143.69
_cell_angle_beta 143.69
_cell_angle_gamma 52.28
_symmetry_space_group_name_H-M 'P 1'
_symmetry_Int_Tables_number 1
_symmetry_space_group_name_Hall 'P 1'
loop_
_atom_site_label
_atom_site_fract_x
_atom_site_fract_y
_atom_site_fract_z
_atom_site_occupancy
Sc1 0.0000 0.0000 0.0000 1
Ag1 0.2500 0.7500 0.5000 1
Br1 0.5000 0.5000 0.0000 1
Br2 0.7500 0.2500 0.5000 1


# Sc2AgBr, relaxed, DFT GGA-PBE
# space-group type	No. 166
# distance to the lowest polymorph of the same formula	0.127	eV per atom
data_Sc2AgBr
_chemical_formula_sum 'Sc2 Ag1 Br1'
_cell_length_a 8.1144
_cell_length_b 8.1144
_cell_length_c 8.1144
_cell_angle_alpha 30.64
_cell_angle_beta 30.64
_cell_angle_gamma 30.64
_symmetry_space_group_name_H-M 'P 1'
_symmetry_Int_Tables_number 1
_symmetry_space_group_name_Hall 'P 1'
loop_
_atom_site_label
_atom_site_fract_x
_atom_site_fract_y
_atom_site_fract_z
_atom_site_occupancy
Sc1 0.1136 0.1136 0.1136 1
Sc2 0.8864 0.8864 0.8864 1
Ag1 0.5000 0.5000 0.5000 1
Br1 0.0000 0.0000 0.0000 1


# ScAgBr, relaxed, DFT GGA-PBE
# space-group type	No. 187
# distance to the lowest polymorph of the same formula	0.303	eV per atom
data_ScAgBr
_chemical_formula_sum 'Sc1 Ag1 Br1'
_cell_length_a 4.7065
_cell_length_b 4.7065
_cell_length_c 3.6126
_cell_angle_alpha 90.00
_cell_angle_beta 90.00
_cell_angle_gamma 120.00
_symmetry_space_group_name_H-M 'P 1'
_symmetry_Int_Tables_number 1
_symmetry_space_group_name_Hall 'P 1'
loop_
_atom_site_label
_atom_site_fract_x
_atom_site_fract_y
_atom_site_fract_z
_atom_site_occupancy
Sc1 0.0000 0.0000 0.0000 1
Ag1 0.6667 0.3333 0.5000 1
Br1 0.3333 0.6667 0.0000 1


# Sc3AgBr, relaxed, DFT GGA-PBE
# space-group type	No. 221
# distance to the lowest polymorph of the same formula	0.201	eV per atom
data_Sc3AgBr
_chemical_formula_sum 'Sc3 Ag1 Br1'
_cell_length_a 5.2467
_cell_length_b 5.2467
_cell_length_c 5.2467
_cell_angle_alpha 90.00
_cell_angle_beta 90.00
_cell_angle_gamma 90.00
_symmetry_space_group_name_H-M 'P 1'
_symmetry_Int_Tables_number 1
_symmetry_space_group_name_Hall 'P 1'
loop_
_atom_site_label
_atom_site_fract_x
_atom_site_fract_y
_atom_site_fract_z
_atom_site_occupancy
Sc1 0.0000 0.0000 0.5000 1
Sc2 0.0000 0.5000 0.0000 1
Sc3 0.5000 0.0000 0.0000 1
Ag1 0.0000 0.0000 0.0000 1
Br1 0.5000 0.5000 0.5000 1


# Sc2AgBr, relaxed, DFT GGA-PBE
# space-group type	No. 166
# distance to the lowest polymorph of the same formula	0.373	eV per atom
data_Sc2AgBr
_chemical_formula_sum 'Sc2 Ag1 Br1'
_cell_length_a 10.2479
_cell_length_b 10.2479
_cell_length_c 10.2479
_cell_angle_alpha 18.24
_cell_angle_beta 18.24
_cell_angle_gamma 18.24
_symmetry_space_group_name_H-M 'P 1'
_symmetry_Int_Tables_number 1
_symmetry_space_group_name_Hall 'P 1'
loop_
_atom_site_label
_atom_site_fract_x
_atom_site_fract_y
_atom_site_fract_z
_atom_site_occupancy
Sc1 0.0927 0.0927 0.0927 1
Sc2 0.9073 0.9073 0.9073 1
Ag1 0.0000 0.0000 0.0000 1
Br1 0.5000 0.5000 0.5000 1


# Sc2AgBr, relaxed, DFT GGA-PBE
# space-group type	No. 123
# distance to the lowest polymorph of the same formula	0.095	eV per atom
data_Sc2AgBr
_chemical_formula_sum 'Sc2 Ag1 Br1'
_cell_length_a 3.3411
_cell_length_b 3.3411
_cell_length_c 7.7425
_cell_angle_alpha 90.00
_cell_angle_beta 90.00
_cell_angle_gamma 90.00
_symmetry_space_group_name_H-M 'P 1'
_symmetry_Int_Tables_number 1
_symmetry_space_group_name_Hall 'P 1'
loop_
_atom_site_label
_atom_site_fract_x
_atom_site_fract_y
_atom_site_fract_z
_atom_site_occupancy
Sc1 0.0000 0.0000 0.2290 1
Sc2 0.0000 0.0000 0.7710 1
Ag1 0.5000 0.5000 0.0000 1
Br1 0.5000 0.5000 0.5000 1


# ScAgBr2, relaxed, DFT GGA-PBE
# space-group type	No. 123
# distance to the lowest polymorph of the same formula	0.456	eV per atom
data_ScAgBr2
_chemical_formula_sum 'Sc1 Ag1 Br2'
_cell_length_a 4.8727
_cell_length_b 4.8727
_cell_length_c 3.6985
_cell_angle_alpha 90.00
_cell_angle_beta 90.00
_cell_angle_gamma 90.00
_symmetry_space_group_name_H-M 'P 1'
_symmetry_Int_Tables_number 1
_symmetry_space_group_name_Hall 'P 1'
loop_
_atom_site_label
_atom_site_fract_x
_atom_site_fract_y
_atom_site_fract_z
_atom_site_occupancy
Sc1 0.0000 0.0000 0.0000 1
Ag1 0.5000 0.5000 0.0000 1
Br1 0.0000 0.5000 0.5000 1
Br2 0.5000 0.0000 0.5000 1


| no. | energy (eV per atom) | formation energy (no corrections) (eV/atom) |
| --- | --- | --- |
| 1 | -3.8602 | -1.214 |
| 2 | -2.5025 | 0.809 |
| 3 | -4.6661 | -0.369 |
| 4 | -4.1455 | -0.527 |
| 5 | -3.7402 | -1.113 |
| 6 | -3.5186 | -0.386 |
| 7 | -4.6521 | -0.355 |
| 8 | -3.9019 | -0.283 |
| 9 | -4.5012 | 0.203 |
| 10 | -4.4059 | -0.109 |
| 11 | -4.6845 | -0.388 |
| 12 | -3.5455 | -0.413 |